[1]
Compound: YAuCl2
Source: Alexandria via LeMat-Bulk
Functional: PBE
Structure: optimized geometry

```
YAuCl2
1.0
-2.3276 2.3276 9.1150
2.3276 -2.3276 9.1150
2.3276 2.3276 -9.1150
Y Au Cl
2 2 4
Cartesian
0.0000 0.0000 0.0000 Y
0.0000 2.3276 4.5575 Y
2.3276 0.0000 4.5575 Au
0.0000 0.0000 9.1150 Au
3.4915 0.9981 -2.2787 Cl
0.9981 1.1638 2.2787 Cl
-1.1638 1.3295 6.8362 Cl
1.3295 1.1638 11.3937 Cl
```

Space group   I-42d
Energy relative to the lowest polymorph listed for this composition   0.471 eV/atom
Formation energy without anion corrections   -380 kJ/mol of formula units
Total DFT energy (no corrections)   -4.342 eV/atom

---

[2]
Compound: In2TePtW
Source: Alexandria via LeMat-Bulk
Functional: PBE
Structure: optimized geometry

```
In2TePtW
1.0
5.4157 0.0000 0.0000
0.0000 5.4157 0.0000
0.0000 0.0000 4.8377
In Te Pt W
2 1 1 1
Cartesian
0.0000 2.7078 0.0000 In
2.7078 0.0000 0.0000 In
0.0000 0.0000 2.4189 Te
2.7078 2.7078 2.4189 Pt
2.7078 2.7078 0.0000 W
```

Space group   P4/mmm
Formation energy without anion corrections   410 kJ/mol of formula units
Total DFT energy (no corrections)   -4.673 eV/atom

---

- Which formula does entry 1 have?
  YAuCl2